A plane-wave DFT calculation with PBE was carried out for a relaxed structure of Ca2AgRuC.

a b c (Å): 5.1269 5.1269 3.8860
angles (deg): 90.00 90.00 90.00
With the nearest neighbours (Å) after each atom.
Space group P4/mmm (No. 123)
Unique sites:
1 Ca 0.0000 0.5000 0.0000 (multiplicity 2)  2 C 2.56
2 Ag 0.0000 0.0000 0.5000 (multiplicity 1)  8 Ca 3.22
3 Ru 0.5000 0.5000 0.5000 (multiplicity 1)  2 C 1.94
4 C 0.5000 0.5000 0.0000 (multiplicity 1)  2 Ru 1.94

Properties
**Calculated formation energy**: -0.23 eV per formula unit
**M_tot**: 0.00 μB per formula unit